HfVSbO6: optimized geometry, GGA+U.

Values from the calculation:
Fermi-level density of states in states/eV/f.u.: 0.000
Uncorrected energy in eV per atom: -7.884
Total magnetic moment in μB/atom: 0.22

a = 5.2744 Å, b = 5.2744 Å, c = 8.9022 Å
α = 90.00°, β = 90.00°, γ = 120.00°
Space group P-31c (No. 163)
Symmetry-distinct sites (fractional):
Hf1 0.3333 0.6667 0.2500
V1 0.0000 0.0000 0.0000
Sb1 0.3333 0.6667 0.7500
O1 0.0104 0.3415 0.6288